Entry 1:
VASP calculation (PBE-GGA) on a relaxed structure of Mn5Fe12Ge3.

Lattice parameters (Å, degrees): 11.548 11.548 11.548 109.47 109.47 109.47
Element x y z (fractional)
Mn1 0.000 0.000 0.000
Mn2 0.000 0.000 0.500
Mn3 0.000 0.500 0.000
Mn4 0.000 0.500 0.500
Mn5 0.125 0.750 0.875
Mn6 0.125 0.875 0.250
Mn7 0.250 0.125 0.875
Mn8 0.250 0.625 0.375
Mn9 0.375 0.250 0.625
Mn10 0.375 0.625 0.750
Mn11 0.500 0.000 0.000
Mn12 0.500 0.000 0.500
Mn13 0.500 0.500 0.000
Mn14 0.500 0.500 0.500
Mn15 0.625 0.375 0.250
Mn16 0.625 0.750 0.375
Mn17 0.750 0.375 0.625
Mn18 0.750 0.875 0.125
Mn19 0.875 0.125 0.750
Mn20 0.875 0.250 0.125
Fe1 0.065 0.229 0.139
Fe2 0.065 0.336 0.926
Fe3 0.074 0.639 0.410
Fe4 0.074 0.935 0.664
Fe5 0.090 0.729 0.664
Fe6 0.090 0.861 0.426
Fe7 0.139 0.065 0.229
Fe8 0.139 0.574 0.910
Fe9 0.164 0.229 0.590
Fe10 0.164 0.435 0.574
Fe11 0.229 0.139 0.065
Fe12 0.229 0.590 0.164
Fe13 0.271 0.336 0.910
Fe14 0.271 0.435 0.361
Fe15 0.336 0.910 0.271
Fe16 0.336 0.926 0.065
Fe17 0.361 0.271 0.435
Fe18 0.361 0.590 0.926
Fe19 0.410 0.074 0.639
Fe20 0.410 0.836 0.771
Fe21 0.426 0.090 0.861
Fe22 0.426 0.836 0.565
Fe23 0.435 0.361 0.271
Fe24 0.435 0.574 0.164
Fe25 0.565 0.426 0.836
Fe26 0.565 0.639 0.729
Fe27 0.574 0.164 0.435
Fe28 0.574 0.910 0.139
Fe29 0.590 0.164 0.229
Fe30 0.590 0.926 0.361
Fe31 0.639 0.410 0.074
Fe32 0.639 0.729 0.565
Fe33 0.664 0.074 0.935
Fe34 0.664 0.090 0.729
Fe35 0.729 0.565 0.639
Fe36 0.729 0.664 0.090
Fe37 0.771 0.410 0.836
Fe38 0.771 0.861 0.935
Fe39 0.836 0.565 0.426
Fe40 0.836 0.771 0.410
Fe41 0.861 0.426 0.090
Fe42 0.861 0.935 0.771
Fe43 0.910 0.139 0.574
Fe44 0.910 0.271 0.336
Fe45 0.926 0.065 0.336
Fe46 0.926 0.361 0.590
Fe47 0.935 0.664 0.074
Fe48 0.935 0.771 0.861
Ge1 0.125 0.250 0.375
Ge2 0.125 0.375 0.750
Ge3 0.250 0.375 0.125
Ge4 0.250 0.875 0.625
Ge5 0.375 0.125 0.250
Ge6 0.375 0.750 0.125
Ge7 0.625 0.250 0.875
Ge8 0.625 0.875 0.750
Ge9 0.750 0.125 0.375
Ge10 0.750 0.625 0.875
Ge11 0.875 0.625 0.250
Ge12 0.875 0.750 0.625

Values from the calculation:
E_form: 0.828 eV per atom
SG: Ia-3d, No. 230


Entry 2:
VASP calculation (PBE-GGA) on a relaxed structure of Sr5Ge2Sb6.

Lattice parameters (Å, degrees): 12.677 15.332 4.568 90.00 90.00 90.00
Element x y z (fractional)
Sr1 0.000 0.000 0.000
Sr2 0.075 0.252 0.000
Sr3 0.173 0.513 0.000
Sr4 0.327 0.013 0.000
Sr5 0.425 0.752 0.000
Sr6 0.500 0.500 0.000
Sr7 0.575 0.248 0.000
Sr8 0.673 0.987 0.000
Sr9 0.827 0.487 0.000
Sr10 0.925 0.748 0.000
Ge1 0.173 0.718 0.500
Ge2 0.327 0.218 0.500
Ge3 0.673 0.782 0.500
Ge4 0.827 0.282 0.500
Sb1 0.003 0.598 0.500
Sb2 0.156 0.104 0.500
Sb3 0.177 0.827 0.000
Sb4 0.323 0.327 0.000
Sb5 0.344 0.604 0.500
Sb6 0.497 0.098 0.500
Sb7 0.503 0.902 0.500
Sb8 0.656 0.396 0.500
Sb9 0.677 0.673 0.000
Sb10 0.823 0.173 0.000
Sb11 0.844 0.896 0.500
Sb12 0.997 0.402 0.500

Values from the calculation:
Raw formation energy: -0.7055 eV per atom
SG: Pbam, No. 55


Entry 3:
VASP calculation (PBE-GGA) on a relaxed structure of CaAu.

Lattice parameters (Å, degrees): 5.716 6.064 11.611 90.00 90.00 90.00
Element x y z (fractional)
Ca1 0.155 0.071 0.028
Ca2 0.170 0.653 0.810
Ca3 0.330 0.347 0.310
Ca4 0.345 0.929 0.528
Ca5 0.655 0.429 0.972
Ca6 0.670 0.847 0.190
Ca7 0.830 0.153 0.690
Ca8 0.845 0.571 0.472
Au1 0.171 0.573 0.074
Au2 0.174 0.847 0.282
Au3 0.326 0.153 0.782
Au4 0.329 0.427 0.574
Au5 0.671 0.927 0.926
Au6 0.674 0.653 0.718
Au7 0.826 0.347 0.218
Au8 0.829 0.073 0.426

Values from the calculation:
E_form: -0.754 eV per atom
SG: P2_12_12_1, No. 19


Entry 4:
VASP calculation (PBE-GGA) on a relaxed structure of Cs2BeNbBr6.

Lattice parameters (Å, degrees): 7.803 7.803 7.803 123.98 123.98 83.24
Element x y z (fractional)
Cs1 0.250 0.750 0.500
Cs2 0.750 0.250 0.500
Be1 0.000 0.000 0.000
Nb1 0.500 0.500 0.000
Br1 0.230 0.230 0.459
Br2 0.230 0.770 0.000
Br3 0.267 0.267 0.000
Br4 0.733 0.733 0.000
Br5 0.770 0.230 0.000
Br6 0.770 0.770 0.541

Values from the calculation:
Raw formation energy: -0.9722 eV per atom
SG: I4/mmm, No. 139


Entry 5:
VASP calculation (PBE-GGA) on a relaxed structure of Sc4BC4.

Lattice parameters (Å, degrees): 3.337 3.337 30.242 90.00 90.00 90.00
Element x y z (fractional)
Sc1 0.000 0.000 0.047
Sc2 0.000 0.000 0.190
Sc3 0.000 0.000 0.299
Sc4 0.000 0.000 0.444
Sc5 0.000 0.000 0.556
Sc6 0.000 0.000 0.701
Sc7 0.000 0.000 0.810
Sc8 0.000 0.000 0.953
Sc9 0.500 0.500 0.118
Sc10 0.500 0.500 0.372
Sc11 0.500 0.500 0.628
Sc12 0.500 0.500 0.882
B1 0.500 0.500 0.243
B2 0.500 0.500 0.500
B3 0.500 0.500 0.757
C1 0.000 0.000 0.115
C2 0.000 0.000 0.372
C3 0.000 0.000 0.628
C4 0.000 0.000 0.885
C5 0.500 0.500 0.023
C6 0.500 0.500 0.195
C7 0.500 0.500 0.292
C8 0.500 0.500 0.452
C9 0.500 0.500 0.548
C10 0.500 0.500 0.708
C11 0.500 0.500 0.805
C12 0.500 0.500 0.977

Values from the calculation:
E_form: -0.461 eV per atom
SG: P4/mmm, No. 123


Entry 6:
VASP calculation (PBE-GGA) on a relaxed structure of MgAlP2S.

Lattice parameters (Å, degrees): 4.646 4.646 4.707 90.00 90.00 90.00
Element x y z (fractional)
Mg1 0.000 0.000 0.000
Al1 0.500 0.500 0.500
P1 0.000 0.500 0.500
P2 0.500 0.000 0.500
S1 0.500 0.500 0.000

Values from the calculation:
Raw formation energy: 0.2680 eV per atom
SG: P4/mmm, No. 123
Energy relative to the lowest polymorph listed for this composition: 0 meV/atom


Entry 7:
VASP calculation (PBE-GGA) on a relaxed structure of V2WI.

Lattice parameters (Å, degrees): 4.517 4.517 4.517 60.00 60.00 60.00
Element x y z (fractional)
V1 0.250 0.250 0.250
V2 0.750 0.750 0.750
W1 0.000 0.000 0.000
I1 0.500 0.500 0.500

Values from the calculation:
Raw formation energy: 0.9133 eV per atom
SG: Fm-3m, No. 225
Energy relative to the lowest polymorph listed for this composition: 0 meV/atom


Entry 8:
VASP calculation (PBE-GGA) on a relaxed structure of Tb3Ni4.

Lattice parameters (Å, degrees): 5.284 5.284 13.006 90.00 90.00 134.67
Element x y z (fractional)
Tb1 0.003 0.997 0.750
Tb2 0.286 0.714 0.602
Tb3 0.286 0.714 0.898
Tb4 0.714 0.286 0.102
Tb5 0.714 0.286 0.398
Tb6 0.997 0.003 0.250
Ni1 0.000 0.000 0.000
Ni2 0.000 0.000 0.500
Ni3 0.291 0.709 0.250
Ni4 0.428 0.572 0.087
Ni5 0.428 0.572 0.413
Ni6 0.572 0.428 0.587
Ni7 0.572 0.428 0.913
Ni8 0.709 0.291 0.750

Values from the calculation:
E_form: -0.414 eV per atom
SG: Cmcm, No. 63